[1]
A relaxed structure of BaCrTc2, computed with GGA-PBE.

Cell lengths 6.7142, 6.7142, 6.7142 Å; angles 90.00, 90.00, 90.00 degrees
Space group F-43m (No. 216)
Asymmetric unit:
Ba 0.0000 0.0000 0.0000 [4 per cell]
Cr 0.2500 0.2500 0.7500 [4 per cell]
Tc 0.0000 0.0000 0.5000 [4 per cell]
Tc 0.2500 0.2500 0.2500 [4 per cell]

- Density: 8.46 Mg/m³
- Energy relative to the lowest polymorph listed for this composition: 0.692 eV/atom
- Calculated formation energy: 1248 meV per atom


[2]
A relaxed structure of U6FeS8, computed with GGA-PBE.

Cell lengths 6.7821, 6.7821, 28.7077 Å; angles 90.00, 90.00, 120.00 degrees
Space group R-3 (No. 148, hexagonal axes)
Asymmetric unit:
U 0.0000 0.3178 0.4458 [18 per cell]
Fe 0.0000 0.0000 0.5000 [3 per cell]
S 0.0000 0.0000 0.1667 [6 per cell]
S 0.9999 0.3504 0.6035 [18 per cell]

- Density: 7.58 Mg/m³
- E_form (uncorrected): -1106 meV per atom


[3]
A relaxed structure of ZrAsBr2N, computed with GGA-PBE.

Cell lengths 4.5320, 4.5320, 4.5629 Å; angles 90.00, 90.00, 90.00 degrees
Space group P4/mmm (No. 123)
Asymmetric unit:
Zr 0.0000 0.0000 0.0000 [1 per cell]
As 0.5000 0.5000 0.0000 [1 per cell]
Br 0.0000 0.5000 0.5000 [2 per cell]
N 0.5000 0.5000 0.5000 [1 per cell]

- Density: 6.02 Mg/m³
- Energy relative to the lowest polymorph listed for this composition: 0.180 eV/atom
- E_form (uncorrected): 755 meV per atom


[4]
A relaxed structure of Ca2ScMo, computed with GGA-PBE.

Cell lengths 3.3448, 5.8361, 11.2077 Å; angles 90.00, 90.00, 90.00 degrees
Space group Imm2 (No. 44)
Asymmetric unit:
Ca 0.0000 0.0000 0.0000 [2 per cell]
Ca 0.0000 0.5000 0.2055 [2 per cell]
Sc 0.0000 0.0000 0.4126 [2 per cell]
Mo 0.0000 0.5000 0.7319 [2 per cell]

- Density: 3.36 Mg/m³
- Energy relative to the lowest polymorph listed for this composition: 0.182 eV/atom
- Calculated formation energy: 523 meV per atom


[5]
A relaxed structure of PmTm5Mg4, computed with GGA-PBE.

Cell lengths 3.6895, 3.6895, 20.3395 Å; angles 90.00, 90.00, 90.00 degrees
Space group P4/mmm (No. 123)
Asymmetric unit:
Pm 0.0000 0.0000 0.0000 [1 per cell]
Tm 0.5000 0.5000 0.1199 [2 per cell]
Tm 0.5000 0.5000 0.3112 [2 per cell]
Tm 0.5000 0.5000 0.5000 [1 per cell]
Mg 0.0000 0.0000 0.2164 [2 per cell]
Mg 0.0000 0.0000 0.4049 [2 per cell]

- Density: 6.52 Mg/m³
- Calculated formation energy: -37 meV per atom


[6]
A relaxed structure of Ca4Pd2O, computed with GGA-PBE.

Cell lengths 4.5880, 4.5880, 15.4865 Å; angles 90.00, 90.00, 90.00 degrees
Space group I4/mmm (No. 139)
Asymmetric unit:
Ca 0.0000 0.0000 0.1728 [4 per cell]
Ca 0.0000 0.5000 0.0000 [4 per cell]
Pd 0.0000 0.0000 0.3635 [4 per cell]
O 0.0000 0.0000 0.0000 [2 per cell]

- Density: 3.96 Mg/m³
- E_form (uncorrected): -1171 meV per atom


[7]
A relaxed structure of TaSeO2F, computed with GGA-PBE.

Cell lengths 3.8735, 3.8735, 4.8340 Å; angles 90.00, 90.00, 90.00 degrees
Space group P4/mmm (No. 123)
Asymmetric unit:
Ta 0.0000 0.0000 0.0000 [1 per cell]
Se 0.5000 0.5000 0.5000 [1 per cell]
O 0.0000 0.5000 0.5000 [2 per cell]
F 0.5000 0.5000 0.0000 [1 per cell]

- Density: 7.12 Mg/m³
- E_form (uncorrected): 349 meV per atom


[8]
A relaxed structure of SrBe3I, computed with GGA-PBE.

Cell lengths 5.0030, 5.0030, 5.0030 Å; angles 90.00, 90.00, 90.00 degrees
Space group Pm-3m (No. 221)
Asymmetric unit:
Sr 0.0000 0.0000 0.0000 [1 per cell]
Be 0.0000 0.5000 0.5000 [3 per cell]
I 0.5000 0.5000 0.5000 [1 per cell]

- Density: 3.20 Mg/m³
- Energy relative to the lowest polymorph listed for this composition: 0.000 eV/atom
- E_form (uncorrected): 1266 meV per atom